Computed, not measured: a relaxed BeFe2BiTe crystal at the PBE level of DFT.

Unit cell a=4.5077 b=4.5077 c=4.8526 alpha=90.00 beta=90.00 gamma=90.00
Fractional positions:
Be  0.0000  0.0000  0.0000
Fe  0.0000  0.5000  0.0000
Fe  0.5000  0.0000  0.0000
Bi  0.0000  0.0000  0.5000
Te  0.5000  0.5000  0.5000

Fermi-level density of states	5.57	states/eV/f.u.
spin magnetization	1.038	μB per atom
formation energy without anion corrections	0.851	eV/atom
mass density	7.70	g/cm³